No. 1
## V3Ga (PBE)

Data for a geometry-optimized V3Ga structure.

Computed properties:
Total DFT energy (no corrections) = -7.770 eV/atom
Calculated volume = 13.676 A^3/atom
SG = Pm-3n (223)

Structure (extended XYZ):
```
8
Lattice="4.783 0.000 0.000 0.000 4.783 0.000 0.000 0.000 4.783" Properties=species:S:1:pos:R:3 pbc="T T T"
V 0.000 1.196 2.391
V 0.000 3.587 2.391
V 1.196 2.391 0.000
V 2.391 0.000 1.196
V 2.391 0.000 3.587
V 3.587 2.391 0.000
Ga 0.000 0.000 0.000
Ga 2.391 2.391 2.391
```

---

No. 2
## TaNbCdSb2 (PBE)

Data for a geometry-optimized TaNbCdSb2 structure.

Computed properties:
ΔE_f (raw) = 1.126 eV/atom
Calculated volume = 29.764 A^3/atom
SG = P4/mmm (123)

Structure (extended XYZ):
```
5
Lattice="5.290 0.000 0.000 0.000 5.290 0.000 0.000 0.000 5.319" Properties=species:S:1:pos:R:3 pbc="T T T"
Ta 0.000 0.000 0.000
Nb 2.645 2.645 2.659
Cd 0.000 0.000 2.659
Sb 0.000 2.645 0.000
Sb 2.645 0.000 0.000
```

---

No. 3
## CaSmHo2 (PBE)

Data for a geometry-optimized CaSmHo2 structure.

Computed properties:
Energy above the most stable polymorph in this dataset = 63 meV per atom
Calculated volume = 33.388 A^3/atom
SG = P4/mmm (123)

Structure (extended XYZ):
```
4
Lattice="5.089 0.000 0.000 0.000 5.089 0.000 0.000 0.000 5.156" Properties=species:S:1:pos:R:3 pbc="T T T"
Ca 0.000 0.000 0.000
Sm 2.545 2.545 0.000
Ho 0.000 2.545 2.578
Ho 2.545 0.000 2.578
```

---

No. 4
## CaMnAsPd2 (PBE)

Data for a geometry-optimized CaMnAsPd2 structure.

Computed properties:
Energy above the most stable polymorph in this dataset = 0 meV per atom
Calculated volume = 23.812 A^3/atom
SG = P4/mmm (123)

Structure (extended XYZ):
```
5
Lattice="4.755 0.000 0.000 0.000 4.755 0.000 0.000 0.000 5.266" Properties=species:S:1:pos:R:3 pbc="T T T"
Ca 0.000 0.000 0.000
Mn 2.378 2.378 0.000
As 0.000 0.000 2.633
Pd 0.000 2.378 2.633
Pd 2.378 0.000 2.633
```

---

No. 5
## CuRh2 (PBE)

Data for a geometry-optimized CuRh2 structure.

Computed properties:
Energy above the most stable polymorph in this dataset = 224 meV per atom
Calculated volume = 14.010 A^3/atom
SG = I4/mcm (140)

Structure (extended XYZ):
```
12
Lattice="6.043 0.000 0.000 0.000 6.043 0.000 0.000 0.000 4.604" Properties=species:S:1:pos:R:3 pbc="T T T"
Cu 0.000 0.000 1.151
Cu 0.000 0.000 3.453
Cu 3.022 3.022 1.151
Cu 3.022 3.022 3.453
Rh 0.901 2.120 0.000
Rh 0.901 3.923 2.302
Rh 2.120 0.901 2.302
Rh 2.120 5.142 0.000
Rh 3.923 0.901 0.000
Rh 3.923 5.142 2.302
Rh 5.142 2.120 2.302
Rh 5.142 3.923 0.000
```

---

No. 6
## TiTcSnN2 (PBE)

Data for a geometry-optimized TiTcSnN2 structure.

Computed properties:
ΔE_f (raw) = 0.596 eV/atom
Calculated volume = 15.980 A^3/atom
SG = P4/mmm (123)

Structure (extended XYZ):
```
5
Lattice="3.916 0.000 0.000 0.000 3.916 0.000 0.000 0.000 5.211" Properties=species:S:1:pos:R:3 pbc="T T T"
Ti 0.000 0.000 0.000
Tc 0.000 0.000 2.605
Sn 1.958 1.958 0.000
N 0.000 1.958 2.605
N 1.958 0.000 2.605
```

---

No. 7
## Mg3P4Pd7 (PBE)

Data for a geometry-optimized Mg3P4Pd7 structure.

Computed properties:
Total DFT energy (no corrections) = -5.048 eV/atom
Calculated volume = 15.941 A^3/atom
SG = C2/m (12)

Structure (extended XYZ):
```
14
Lattice="7.555 -2.013 0.000 7.555 2.013 0.000 -4.988 0.000 7.338" Properties=species:S:1:pos:R:3 pbc="T T T"
Mg 0.000 0.000 0.000
Mg 3.378 0.000 2.499
Mg 6.745 0.000 4.839
P -2.493 0.000 6.057
P 1.341 0.000 5.394
P 8.781 0.000 1.944
P 12.616 0.000 1.281
Pd -2.494 0.000 3.669
Pd 0.584 0.000 3.010
Pd -0.288 0.000 7.051
Pd 3.756 0.000 5.368
Pd 6.366 0.000 1.969
Pd 10.411 0.000 0.287
Pd 9.538 0.000 4.328
```

---

No. 8
## LiSnPO2 (PBE)

Data for a geometry-optimized LiSnPO2 structure.

Computed properties:
Energy above the most stable polymorph in this dataset = 396 meV per atom
ΔE_f (raw) = 0.020 eV/atom
Calculated volume = 13.445 A^3/atom
SG = P4/mmm (123)

Structure (extended XYZ):
```
5
Lattice="3.811 0.000 0.000 0.000 3.811 0.000 0.000 0.000 4.629" Properties=species:S:1:pos:R:3 pbc="T T T"
Li 0.000 0.000 0.000
Sn 1.905 1.905 2.315
P 0.000 0.000 2.315
O 0.000 1.905 0.000
O 1.905 0.000 0.000
```

---

No. 9
## Be2SiRu2 (PBE)

Data for a geometry-optimized Be2SiRu2 structure.

Computed properties:
Energy above the most stable polymorph in this dataset = 78 meV per atom
ΔE_f (raw) = -0.366 eV/atom
Calculated volume = 11.921 A^3/atom
SG = P4/mbm (127)

Structure (extended XYZ):
```
10
Lattice="6.179 0.000 0.000 0.000 6.179 0.000 0.000 0.000 3.122" Properties=species:S:1:pos:R:3 pbc="T T T"
Be 0.823 2.267 0.000
Be 2.267 5.356 0.000
Be 3.913 0.823 0.000
Be 5.356 3.913 0.000
Si 0.000 0.000 1.561
Si 3.090 3.090 1.561
Ru 0.991 4.081 1.561
Ru 2.098 0.991 1.561
Ru 4.081 5.188 1.561
Ru 5.188 2.098 1.561
```

---

No. 10
## Pu3NiPb (PBE)

Data for a geometry-optimized Pu3NiPb structure.

Computed properties:
Total DFT energy (no corrections) = -10.366 eV/atom
Calculated volume = 27.810 A^3/atom
SG = Pm-3m (221)

Structure (extended XYZ):
```
5
Lattice="5.181 0.000 0.000 0.000 5.181 0.000 0.000 0.000 5.181" Properties=species:S:1:pos:R:3 pbc="T T T"
Pu 0.000 0.000 2.590
Pu 0.000 2.590 0.000
Pu 2.590 0.000 0.000
Ni 0.000 0.000 0.000
Pb 2.590 2.590 2.590
```

---

No. 11
## MnIrW2 (PBE)

Data for a geometry-optimized MnIrW2 structure.

Computed properties:
Energy above the most stable polymorph in this dataset = 32 meV per atom
Calculated volume = 14.691 A^3/atom
SG = Cmmm (65)

Structure (extended XYZ):
```
8
Lattice="5.479 0.000 0.000 0.000 7.803 0.000 0.000 0.000 2.749" Properties=species:S:1:pos:R:3 pbc="T T T"
Mn 0.000 0.000 0.000
Mn 2.740 3.902 0.000
Ir 0.000 3.902 0.000
Ir 2.740 0.000 0.000
W 1.370 1.951 1.374
W 1.370 5.853 1.374
W 4.110 1.951 1.374
W 4.110 5.853 1.374
```

---

No. 12
## RbTePBr2 (PBE)

Data for a geometry-optimized RbTePBr2 structure.

Computed properties:
ΔE_f (raw) = 0.002 eV/atom
Calculated volume = 39.456 A^3/atom
SG = P4/mmm (123)

Structure (extended XYZ):
```
5
Lattice="5.151 0.000 0.000 0.000 5.151 0.000 0.000 0.000 7.435" Properties=species:S:1:pos:R:3 pbc="T T T"
Rb 0.000 0.000 0.000
Te 2.576 2.576 0.000
P 0.000 0.000 3.717
Br 0.000 2.576 3.717
Br 2.576 0.000 3.717
```